Record 1
## FeSnI2 (PBEsol)

Data for an optimized crystal structure of FeSnI2.

abc: 7.4022 7.4022 7.4022
angles: 90.00 90.00 90.00
Space group Fm-3m (No. 225)
Symmetry-distinct sites (fractional):
Fe 0.0000 0.0000 0.0000
Sn 0.0000 0.0000 0.5000
I 0.2500 0.2500 0.2500

Output
Final energy = -3.649 eV per atom

Record 2
## FeSn2I (PBEsol)

Data for an optimized crystal structure of FeSn2I.

abc: 7.2958 7.2958 7.2958
angles: 90.00 90.00 90.00
Space group Fm-3m (No. 225)
Symmetry-distinct sites (fractional):
Fe 0.0000 0.0000 0.0000
Sn 0.2500 0.2500 0.2500
I 0.0000 0.0000 0.5000

Output
Final energy = -4.070 eV per atom

Record 3
## SrFeTeI2 (PBEsol)

Data for an optimized crystal structure of SrFeTeI2.

abc: 6.0955 6.0955 6.3261
angles: 90.00 90.00 90.00
Space group P4/mmm (No. 123)
Symmetry-distinct sites (fractional):
Sr 0.0000 0.0000 0.0000
Fe 0.5000 0.5000 0.5000
Te 0.0000 0.0000 0.5000
I 0.0000 0.5000 0.0000

Output
Final energy = -3.175 eV per atom

Question: Among the records above, which one has the highest final energy?
Answer: SrFeTeI2